(1)
{
  "formula": "Ho4SbAs2Se",
  "functional": "PBE",
  "state": "relaxed",
  "final_energy_ev_per_cell": -47.29,
  "total_magnetization_mub_per_atom": 0.00,
  "spacegroup": "No. 10",
  "lattice": [[7.1913, 0.0000, 0.0000], [0.0000, 4.1549, 0.0000], [-2.3871, 0.0000, 6.8251]],
  "species": ["Ho", "Ho", "Ho", "Ho", "Sb", "As", "As", "Se"],
  "fractional_positions": [[0.2416, 0.0000, 0.2345], [0.2525, 0.5000, 0.7643], [0.7475, 0.5000, 0.2357], [0.7584, 0.0000, 0.7655], [0.5000, 0.5000, 0.5000], [0.0000, 0.5000, 0.0000], [0.5000, 0.0000, 0.0000], [0.0000, 0.0000, 0.5000]]
}

***

(2)
{
  "formula": "PmSn2Ru",
  "functional": "PBE",
  "state": "relaxed",
  "final_energy_ev_per_cell": -17.86,
  "total_magnetization_mub_per_atom": 0.51,
  "formation_enthalpy_0k_mev_per_atom": 1043,
  "spacegroup": "No. 166",
  "lattice": [[2.6291, 1.5179, 6.6688], [-2.6291, 1.5179, 6.6688], [0.0000, -3.0359, 6.6688]],
  "species": ["Pm", "Sn", "Sn", "Ru"],
  "fractional_positions": [[0.0000, 0.0000, 0.0000], [0.3717, 0.3717, 0.3717], [0.6283, 0.6283, 0.6283], [0.5000, 0.5000, 0.5000]]
}

***

(3)
{
  "formula": "LiYGe2Rh",
  "functional": "PBE",
  "state": "relaxed",
  "final_energy_ev_per_cell": -28.55,
  "total_magnetization_mub_per_atom": 0.00,
  "formation_enthalpy_0k_mev_per_atom": -718,
  "spacegroup": "No. 119",
  "lattice": [[-2.0406, 2.0406, 5.3253], [2.0406, -2.0406, 5.3253], [2.0406, 2.0406, -5.3253]],
  "species": ["Li", "Y", "Ge", "Ge", "Rh"],
  "fractional_positions": [[0.0000, 0.0000, 0.0000], [0.7500, 0.2500, 0.5000], [0.1326, 0.6326, 0.5000], [0.3674, 0.8674, 0.5000], [0.5000, 0.5000, 0.0000]]
}

***

(4)
{
  "formula": "ScAsCl2",
  "functional": "PBE",
  "state": "relaxed",
  "final_energy_ev_per_cell": -17.83,
  "total_magnetization_mub_per_atom": 0.14,
  "spacegroup": "No. 160",
  "lattice": [[1.7314, 0.9996, 8.7822], [-1.7314, 0.9996, 8.7822], [0.0000, -1.9992, 8.7822]],
  "species": ["Sc", "As", "Cl", "Cl"],
  "fractional_positions": [[0.0000, 0.0000, 0.0000], [0.2580, 0.2580, 0.2580], [0.5154, 0.5154, 0.5154], [0.7271, 0.7271, 0.7271]]
}